Entry 1:
The following is a PBE-GGA calculation of a relaxed structure of CdInFeCu, from OQMD.

The structure in CIF format:
```
data_CdInFeCu
_space_group_name_H-M_alt 'F -4 3 m'
_space_group_IT_number 216
_space_group_name_Hall 'F -4 2 3'
_cell_length_a 6.381
_cell_length_b 6.381
_cell_length_c 6.381
_cell_angle_alpha 90.00
_cell_angle_beta 90.00
_cell_angle_gamma 90.00
loop_
_atom_site_label
_atom_site_type_symbol
_atom_site_fract_x
_atom_site_fract_y
_atom_site_fract_z
Cd1 Cd 0.000 0.000 0.000
In1 In 0.000 0.000 0.500
Fe1 Fe 0.250 0.250 0.250
Cu1 Cu 0.250 0.250 0.750
```

Computed properties:
Total magnetic moment = 9.2 μB per cell

Entry 2:
The following is a PBE-GGA calculation of a relaxed structure of CdFeCuPb, from OQMD.

The structure in CIF format:
```
data_CdFeCuPb
_space_group_name_H-M_alt 'F -4 3 m'
_space_group_IT_number 216
_space_group_name_Hall 'F -4 2 3'
_cell_length_a 6.581
_cell_length_b 6.581
_cell_length_c 6.581
_cell_angle_alpha 90.00
_cell_angle_beta 90.00
_cell_angle_gamma 90.00
loop_
_atom_site_label
_atom_site_type_symbol
_atom_site_fract_x
_atom_site_fract_y
_atom_site_fract_z
Cd1 Cd 0.000 0.000 0.000
Fe1 Fe 0.250 0.250 0.250
Cu1 Cu 0.250 0.250 0.750
Pb1 Pb 0.000 0.000 0.500
```

Computed properties:
Total magnetic moment = 9.3 μB per cell

Entry 3:
The following is a PBE-GGA calculation of a relaxed structure of CdFeCuSb, from OQMD.

The structure in CIF format:
```
data_CdFeCuSb
_space_group_name_H-M_alt 'F -4 3 m'
_space_group_IT_number 216
_space_group_name_Hall 'F -4 2 3'
_cell_length_a 6.450
_cell_length_b 6.450
_cell_length_c 6.450
_cell_angle_alpha 90.00
_cell_angle_beta 90.00
_cell_angle_gamma 90.00
loop_
_atom_site_label
_atom_site_type_symbol
_atom_site_fract_x
_atom_site_fract_y
_atom_site_fract_z
Cd1 Cd 0.000 0.000 0.000
Fe1 Fe 0.250 0.250 0.250
Cu1 Cu 0.250 0.250 0.750
Sb1 Sb 0.000 0.000 0.500
```

Computed properties:
Total magnetic moment = 7.4 μB per cell

Entry 4:
The following is a PBE-GGA calculation of a relaxed structure of CdFeCuTc, from OQMD.

The structure in CIF format:
```
data_CdFeCuTc
_space_group_name_H-M_alt 'F -4 3 m'
_space_group_IT_number 216
_space_group_name_Hall 'F -4 2 3'
_cell_length_a 6.125
_cell_length_b 6.125
_cell_length_c 6.125
_cell_angle_alpha 90.00
_cell_angle_beta 90.00
_cell_angle_gamma 90.00
loop_
_atom_site_label
_atom_site_type_symbol
_atom_site_fract_x
_atom_site_fract_y
_atom_site_fract_z
Cd1 Cd 0.000 0.000 0.000
Fe1 Fe 0.250 0.250 0.750
Cu1 Cu 0.250 0.250 0.250
Tc1 Tc 0.000 0.000 0.500
```

Computed properties:
Total magnetic moment = 11.5 μB per cell
E_form = 420 meV/atom

Entry 5:
The following is a PBE-GGA calculation of a relaxed structure of TlCdFeCu, from OQMD.

The structure in CIF format:
```
data_TlCdFeCu
_space_group_name_H-M_alt 'F -4 3 m'
_space_group_IT_number 216
_space_group_name_Hall 'F -4 2 3'
_cell_length_a 6.495
_cell_length_b 6.495
_cell_length_c 6.495
_cell_angle_alpha 90.00
_cell_angle_beta 90.00
_cell_angle_gamma 90.00
loop_
_atom_site_label
_atom_site_type_symbol
_atom_site_fract_x
_atom_site_fract_y
_atom_site_fract_z
Tl1 Tl 0.000 0.000 0.000
Cd1 Cd 0.000 0.000 0.500
Fe1 Fe 0.250 0.250 0.750
Cu1 Cu 0.250 0.250 0.250
```

Computed properties:
Total magnetic moment = 10.0 μB per cell

Entry 6:
The following is a PBE-GGA calculation of a relaxed structure of ZnCdFeCu, from OQMD.

The structure in CIF format:
```
data_ZnCdFeCu
_space_group_name_H-M_alt 'F -4 3 m'
_space_group_IT_number 216
_space_group_name_Hall 'F -4 2 3'
_cell_length_a 6.163
_cell_length_b 6.163
_cell_length_c 6.163
_cell_angle_alpha 90.00
_cell_angle_beta 90.00
_cell_angle_gamma 90.00
loop_
_atom_site_label
_atom_site_type_symbol
_atom_site_fract_x
_atom_site_fract_y
_atom_site_fract_z
Zn1 Zn 0.000 0.000 0.000
Cd1 Cd 0.000 0.000 0.500
Fe1 Fe 0.250 0.250 0.750
Cu1 Cu 0.250 0.250 0.250
```

Computed properties:
Total magnetic moment = 10.0 μB per cell
E_form = 222 meV/atom

For the records above, the corresponding relative energy among the computed polymorphs values read 0.00; 0.00; 0.00; 0.00; 0.00; 0.00 kcal/mol of atoms.